Record 1
# CdCo2BiIr

An optimized crystal structure of CdCo2BiIr (PBE-GGA, Alexandria via LeMat-Bulk).

Values from the calculation:
Energy relative to the elements: 90 kJ/mol of atoms

Geometry as CIF:
```
data_CdCo2BiIr
_cell_length_a 4.662
_cell_length_b 4.662
_cell_length_c 5.106
_cell_angle_alpha 90.00
_cell_angle_beta 90.00
_cell_angle_gamma 90.00
_space_group_name_H-M_alt 'P 4/m m m'
_space_group_IT_number 123
_space_group_name_Hall '-P 4 2'
loop_
_atom_site_label
_atom_site_type_symbol
_atom_site_fract_x
_atom_site_fract_y
_atom_site_fract_z
Cd1 Cd 0.000 0.000 0.000
Co1 Co 0.000 0.500 0.500
Bi1 Bi 0.500 0.500 0.000
Ir1 Ir 0.000 0.000 0.500
```

Record 2
# Nd3Ho2Tm4

An optimized crystal structure of Nd3Ho2Tm4 (PBE-GGA, Alexandria via LeMat-Bulk).

Values from the calculation:
Energy relative to the lowest polymorph listed for this composition: 0 meV/atom
Energy relative to the elements: 9 kJ/mol of atoms

Geometry as CIF:
```
data_Nd3Ho2Tm4
_cell_length_a 17.060
_cell_length_b 5.592
_cell_length_c 6.566
_cell_angle_alpha 90.00
_cell_angle_beta 111.52
_cell_angle_gamma 90.00
_space_group_name_H-M_alt 'C 1 2/m 1'
_space_group_IT_number 12
_space_group_name_Hall '-C 2y'
loop_
_atom_site_label
_atom_site_type_symbol
_atom_site_fract_x
_atom_site_fract_y
_atom_site_fract_z
Nd1 Nd 0.000 0.000 0.000
Nd2 Nd 0.138 0.000 0.580
Ho1 Ho 0.139 0.500 0.299
Tm1 Tm 0.070 0.500 0.754
Tm2 Tm 0.223 0.000 0.143
```

Record 3
# RbMgGe

An optimized crystal structure of RbMgGe (PBE-GGA, Alexandria via LeMat-Bulk).

Values from the calculation:
Energy relative to the lowest polymorph listed for this composition: 38 meV/atom
Energy relative to the elements: -11 kJ/mol of atoms

Geometry as CIF:
```
data_RbMgGe
_cell_length_a 4.753
_cell_length_b 4.753
_cell_length_c 8.470
_cell_angle_alpha 90.00
_cell_angle_beta 90.00
_cell_angle_gamma 90.00
_space_group_name_H-M_alt 'P 4/n m m'
_space_group_IT_number 129
loop_
_space_group_symop_operation_xyz
'x,y,z'
'-x,-y,-z'
'-y+1/2,x,z'
'y+1/2,-x,-z'
'-x+1/2,-y+1/2,z'
'x+1/2,y+1/2,-z'
'y,-x+1/2,z'
'-y,x+1/2,-z'
'x+1/2,-y,-z'
'-x+1/2,y,z'
'-y,-x,-z'
'y,x,z'
'-x,y+1/2,-z'
'x,-y+1/2,z'
'y+1/2,x+1/2,-z'
'-y+1/2,-x+1/2,z'
loop_
_atom_site_label
_atom_site_type_symbol
_atom_site_fract_x
_atom_site_fract_y
_atom_site_fract_z
Rb1 Rb 0.250 0.250 0.150
Mg1 Mg 0.250 0.750 0.500
Ge1 Ge 0.250 0.250 0.676
```

Record 4
# Ba2TiPd

An optimized crystal structure of Ba2TiPd (PBE-GGA, Alexandria via LeMat-Bulk).

Values from the calculation:
Energy relative to the lowest polymorph listed for this composition: 0 meV/atom
Energy relative to the elements: 23 kJ/mol of atoms

Geometry as CIF:
```
data_Ba2TiPd
_cell_length_a 11.943
_cell_length_b 11.943
_cell_length_c 4.972
_cell_angle_alpha 90.00
_cell_angle_beta 90.00
_cell_angle_gamma 90.00
_space_group_name_H-M_alt 'I -4 2 d'
_space_group_IT_number 122
_space_group_name_Hall 'I -4 2bw'
loop_
_atom_site_label
_atom_site_type_symbol
_atom_site_fract_x
_atom_site_fract_y
_atom_site_fract_z
Ba1 Ba 0.086 0.750 0.125
Ti1 Ti 0.000 0.000 0.500
Pd1 Pd 0.000 0.000 0.000
```

Record 5
# Cs2PmSmO4

An optimized crystal structure of Cs2PmSmO4 (PBE-GGA, Alexandria via LeMat-Bulk).

Values from the calculation:
Formation energy without anion corrections: -2.542 eV/atom

Geometry as CIF:
```
data_Cs2PmSmO4
_cell_length_a 6.346
_cell_length_b 3.664
_cell_length_c 7.253
_cell_angle_alpha 90.00
_cell_angle_beta 106.96
_cell_angle_gamma 90.00
_space_group_name_H-M_alt 'P 1 2/m 1'
_space_group_IT_number 10
_space_group_name_Hall '-P 2y'
loop_
_atom_site_label
_atom_site_type_symbol
_atom_site_fract_x
_atom_site_fract_y
_atom_site_fract_z
Cs1 Cs 0.000 0.000 0.000
Cs2 Cs 0.500 0.500 0.000
Pm1 Pm 0.000 0.500 0.500
Sm1 Sm 0.500 0.000 0.500
O1 O 0.224 0.000 0.668
O2 O 0.279 0.500 0.332
```

Record 6
# La2Si3AgAu4

An optimized crystal structure of La2Si3AgAu4 (PBE-GGA, Alexandria via LeMat-Bulk).

Values from the calculation:
Formation energy without anion corrections: -0.563 eV/atom

Geometry as CIF:
```
data_La2Si3AgAu4
_cell_length_a 4.430
_cell_length_b 4.430
_cell_length_c 10.547
_cell_angle_alpha 90.00
_cell_angle_beta 90.00
_cell_angle_gamma 90.00
_space_group_name_H-M_alt 'P -4 m 2'
_space_group_IT_number 115
_space_group_name_Hall 'P -4 -2'
loop_
_atom_site_label
_atom_site_type_symbol
_atom_site_fract_x
_atom_site_fract_y
_atom_site_fract_z
La1 La 0.000 0.500 0.245
Si1 Si 0.000 0.500 0.872
Si2 Si 0.500 0.500 0.500
Ag1 Ag 0.000 0.000 0.500
Au1 Au 0.000 0.000 0.000
Au2 Au 0.000 0.500 0.643
Au3 Au 0.500 0.500 0.000
```

Record 7
# PmPuCoCu

An optimized crystal structure of PmPuCoCu (PBE-GGA, Alexandria via LeMat-Bulk).

Values from the calculation:
Energy relative to the elements: 5 kJ/mol of atoms

Geometry as CIF:
```
data_PmPuCoCu
_cell_length_a 6.893
_cell_length_b 6.893
_cell_length_c 6.893
_cell_angle_alpha 90.00
_cell_angle_beta 90.00
_cell_angle_gamma 90.00
_space_group_name_H-M_alt 'F -4 3 m'
_space_group_IT_number 216
_space_group_name_Hall 'F -4 2 3'
loop_
_atom_site_label
_atom_site_type_symbol
_atom_site_fract_x
_atom_site_fract_y
_atom_site_fract_z
Pm1 Pm 0.000 0.000 0.000
Pu1 Pu 0.000 0.000 0.500
Co1 Co 0.250 0.250 0.250
Cu1 Cu 0.250 0.250 0.750
```

Record 8
# HfScOs2

An optimized crystal structure of HfScOs2 (PBE-GGA, Alexandria via LeMat-Bulk).

Values from the calculation:
Energy relative to the lowest polymorph listed for this composition: 829 meV/atom
Energy relative to the elements: 26 kJ/mol of atoms

Geometry as CIF:
```
data_HfScOs2
_cell_length_a 7.233
_cell_length_b 7.233
_cell_length_c 5.569
_cell_angle_alpha 90.00
_cell_angle_beta 90.00
_cell_angle_gamma 90.00
_space_group_name_H-M_alt 'I -4 2 d'
_space_group_IT_number 122
_space_group_name_Hall 'I -4 2bw'
loop_
_atom_site_label
_atom_site_type_symbol
_atom_site_fract_x
_atom_site_fract_y
_atom_site_fract_z
Hf1 Hf 0.000 0.000 0.000
Sc1 Sc 0.000 0.000 0.500
Os1 Os 0.248 0.750 0.125
```